# NaGeTe2N (meta-GGA SCAN, single point on PBEsol structure)
data_NaGeTe2N
_chemical_formula_sum 'Na1 Ge1 Te2 N1'
_cell_length_a 5.485
_cell_length_b 5.485
_cell_length_c 4.207
_cell_angle_alpha 90.00
_cell_angle_beta 90.00
_cell_angle_gamma 90.00
_space_group_name_H-M_alt 'P 4/m m m'
_space_group_IT_number 123
_space_group_name_Hall '-P 4 2'
loop_
_atom_site_label
_atom_site_fract_x
_atom_site_fract_y
_atom_site_fract_z
Na1 0.000 0.000 0.000
Ge1 0.500 0.500 0.500
Te1 0.000 0.500 0.000
N1 0.000 0.000 0.500
# VASP energy: -20.2733 eV/atom
# D(E_F): 3.409 states/eV/f.u.
# Calculated density: 4.79 g cm⁻³

# Nb3GeN (meta-GGA SCAN, single point on PBEsol structure)
data_Nb3GeN
_chemical_formula_sum 'Nb3 Ge1 N1'
_cell_length_a 4.214
_cell_length_b 4.214
_cell_length_c 4.214
_cell_angle_alpha 90.00
_cell_angle_beta 90.00
_cell_angle_gamma 90.00
_space_group_name_H-M_alt 'P m -3 m'
_space_group_IT_number 221
_space_group_name_Hall '-P 4 2 3'
loop_
_atom_site_label
_atom_site_fract_x
_atom_site_fract_y
_atom_site_fract_z
Nb1 0.000 0.000 0.500
Ge1 0.500 0.500 0.500
N1 0.000 0.000 0.000
# VASP energy: -26.0301 eV/atom
# D(E_F): 6.324 states/eV/f.u.
# Calculated density: 8.11 g cm⁻³

# NiGeSN2 (meta-GGA SCAN, single point on PBEsol structure)
data_NiGeSN2
_chemical_formula_sum 'Ni1 Ge1 S1 N2'
_cell_length_a 3.603
_cell_length_b 3.603
_cell_length_c 5.164
_cell_angle_alpha 90.00
_cell_angle_beta 90.00
_cell_angle_gamma 90.00
_space_group_name_H-M_alt 'P 4/m m m'
_space_group_IT_number 123
_space_group_name_Hall '-P 4 2'
loop_
_atom_site_label
_atom_site_fract_x
_atom_site_fract_y
_atom_site_fract_z
Ni1 0.000 0.000 0.000
Ge1 0.500 0.500 0.500
S1 0.500 0.500 0.000
N1 0.000 0.500 0.500
# VASP energy: -11.5642 eV/atom
# D(E_F): 2.077 states/eV/f.u.
# Calculated density: 4.74 g cm⁻³

# Ni2SnGeN (meta-GGA SCAN, single point on PBEsol structure)
data_Ni2SnGeN
_chemical_formula_sum 'Ni2 Sn1 Ge1 N1'
_cell_length_a 4.216
_cell_length_b 4.216
_cell_length_c 5.427
_cell_angle_alpha 90.00
_cell_angle_beta 90.00
_cell_angle_gamma 90.00
_space_group_name_H-M_alt 'P 4/m m m'
_space_group_IT_number 123
_space_group_name_Hall '-P 4 2'
loop_
_atom_site_label
_atom_site_fract_x
_atom_site_fract_y
_atom_site_fract_z
Ni1 0.000 0.500 0.000
Sn1 0.000 0.000 0.500
Ge1 0.000 0.000 0.000
N1 0.500 0.500 0.500
# VASP energy: -17.8094 eV/atom
# D(E_F): 2.021 states/eV/f.u.
# Calculated density: 5.56 g cm⁻³

# Ge2NO (meta-GGA SCAN, single point on PBEsol structure)
data_Ge2NO
_chemical_formula_sum 'Ge8 N4 O4'
_cell_length_a 5.624
_cell_length_b 5.624
_cell_length_c 5.624
_cell_angle_alpha 90.00
_cell_angle_beta 90.00
_cell_angle_gamma 90.00
_space_group_name_H-M_alt 'F m -3 m'
_space_group_IT_number 225
_space_group_name_Hall '-F 4 2 3'
loop_
_atom_site_label
_atom_site_fract_x
_atom_site_fract_y
_atom_site_fract_z
Ge1 0.250 0.250 0.250
N1 0.000 0.000 0.000
O1 0.000 0.000 0.500
# VASP energy: -12.7370 eV/atom
# D(E_F): 1.438 states/eV/f.u.
# Calculated density: 6.55 g cm⁻³

# SiGeNO2 (meta-GGA SCAN, single point on PBEsol structure)
data_SiGeNO2
_chemical_formula_sum 'Si1 Ge1 N1 O2'
_cell_length_a 3.630
_cell_length_b 3.630
_cell_length_c 3.906
_cell_angle_alpha 90.00
_cell_angle_beta 90.00
_cell_angle_gamma 90.00
_space_group_name_H-M_alt 'P 4/m m m'
_space_group_IT_number 123
_space_group_name_Hall '-P 4 2'
loop_
_atom_site_label
_atom_site_fract_x
_atom_site_fract_y
_atom_site_fract_z
Si1 0.000 0.000 0.000
Ge1 0.500 0.500 0.500
N1 0.500 0.500 0.000
O1 0.000 0.500 0.500
# VASP energy: -10.2383 eV/atom
# D(E_F): 1.849 states/eV/f.u.
# Calculated density: 4.73 g cm⁻³

- The highest VASP energy belongs to which entry?
  SiGeNO2

- What is the formula in the fourth record?
  Ni2SnGeN

- Which formula does entry 3 have?
  NiGeSN2